[1]
# Zr6CoI14

A PBEsol-optimized structure of Zr6CoI14 (SCAN, Alexandria via LeMat-Bulk).

Lattice parameters (Å, degrees): 10.640 10.640 12.896 90.00 90.00 96.38
Sites, in units of the cell vectors:
Zr: 0.181 0.956 0.886
Zr: 0.819 0.044 0.114
Zr: 0.319 0.544 0.386
Zr: 0.456 0.681 0.614
Zr: 0.681 0.456 0.614
Zr: 0.544 0.319 0.386
Zr: 0.044 0.819 0.114
Zr: 0.956 0.181 0.886
Zr: 0.356 0.356 0.606
Zr: 0.644 0.644 0.394
Zr: 0.144 0.144 0.106
Zr: 0.856 0.856 0.894
Co: 0.000 0.000 0.000
Co: 0.500 0.500 0.500
I: 0.536 0.284 0.753
I: 0.464 0.716 0.247
I: 0.964 0.216 0.253
I: 0.784 0.036 0.747
I: 0.036 0.784 0.747
I: 0.216 0.964 0.253
I: 0.716 0.464 0.247
I: 0.284 0.536 0.753
I: 0.372 0.120 0.992
I: 0.628 0.880 0.008
I: 0.128 0.380 0.492
I: 0.620 0.872 0.508
I: 0.872 0.620 0.508
I: 0.380 0.128 0.492
I: 0.880 0.628 0.008
I: 0.120 0.372 0.992
I: 0.403 0.903 0.750
I: 0.597 0.097 0.250
I: 0.097 0.597 0.250
I: 0.903 0.403 0.750
I: 0.255 0.745 0.000
I: 0.745 0.255 0.000
I: 0.245 0.755 0.500
I: 0.755 0.245 0.500
I: 0.158 0.158 0.734
I: 0.842 0.842 0.266
I: 0.342 0.342 0.234
I: 0.658 0.658 0.766

## Properties
The value obtained for the magnetic moment is 1.01 μB per formula unit. The formation energy (no corrections) comes out at -0.989 eV per atom. The space group is Cmce. The calculation puts the density of states at the Fermi level at 0.352 states/eV/atom. For the volume, the calculation gives 1450.9 Å³ per cell.


[2]
# AlInAg2

A PBEsol-optimized structure of AlInAg2 (SCAN, Alexandria via LeMat-Bulk).

Lattice parameters (Å, degrees): 3.588 3.588 5.621 90.00 90.00 90.00
Sites, in units of the cell vectors:
Al: 0.000 0.000 0.476
Ag: 0.000 0.000 0.001
Ag: 0.500 0.500 0.263
In: 0.500 0.500 0.760

## Properties
The value obtained for the magnetic moment is 0.00 μB per formula unit. The energy of formation from the pure elements comes out at -0.0059 eV/atom. The space group is P4mm. The calculation puts the density of states at the Fermi level at 0.239 states/eV/atom. For the volume, the calculation gives 72.4 Å³ per cell.


[3]
# YZrAg2

A PBEsol-optimized structure of YZrAg2 (SCAN, Alexandria via LeMat-Bulk).

Lattice parameters (Å, degrees): 3.055 5.045 5.916 97.99 90.00 107.62
Sites, in units of the cell vectors:
Ag: 0.752 0.504 0.783
Ag: 0.248 0.496 0.217
Y: 0.000 0.000 0.500
Zr: 0.500 0.000 0.000

## Properties
The value obtained for the magnetic moment is 0.00 μB per formula unit. The energy of formation from the pure elements comes out at 0.0822 eV/atom. The space group is C2/m. The calculation puts the density of states at the Fermi level at 0.886 states/eV/atom. The value obtained for the energy relative to the lowest polymorph listed for this composition is 0 meV per atom. For the volume, the calculation gives 86.0 Å³ per cell.


[4]
# As4IrPt

A PBEsol-optimized structure of As4IrPt (SCAN, Alexandria via LeMat-Bulk).

Lattice parameters (Å, degrees): 5.260 5.260 5.260 60.00 60.00 60.00
Sites, in units of the cell vectors:
As: 0.625 0.625 0.625
As: 0.625 0.125 0.625
As: 0.125 0.625 0.625
As: 0.625 0.625 0.125
Ir: 0.250 0.250 0.250
Pt: 0.000 0.000 0.000

## Properties
The value obtained for the magnetic moment is 0.00 μB per formula unit. The energy of formation from the pure elements comes out at 0.9526 eV/atom. The space group is F-43m. The calculation puts the density of states at the Fermi level at 0.942 states/eV/atom. For the volume, the calculation gives 102.9 Å³ per cell.


[5]
# NiTeCl

A PBEsol-optimized structure of NiTeCl (SCAN, Alexandria via LeMat-Bulk).

Lattice parameters (Å, degrees): 3.368 3.496 6.691 83.04 75.42 61.21
Sites, in units of the cell vectors:
Ni: 0.660 0.000 0.681
Te: 0.293 0.000 0.413
Cl: 0.047 0.000 0.906

## Properties
The value obtained for the magnetic moment is 0.00 μB per formula unit. The formation energy (no corrections) comes out at -0.291 eV per atom. The space group is Fmm2. The calculation puts the density of states at the Fermi level at 0.373 states/eV/atom. For the volume, the calculation gives 66.8 Å³ per cell.


[6]
# MnTc5

A PBEsol-optimized structure of MnTc5 (SCAN, Alexandria via LeMat-Bulk).

Lattice parameters (Å, degrees): 2.690 4.299 7.090 90.00 100.93 90.00
Sites, in units of the cell vectors:
Mn: 0.001 0.000 0.002
Tc: 0.223 0.500 0.445
Tc: 0.338 0.000 0.676
Tc: 0.553 0.500 0.105
Tc: 0.662 0.000 0.323
Tc: 0.891 0.500 0.782

## Properties
The value obtained for the magnetic moment is 2.40 μB per formula unit. The energy of formation from the pure elements comes out at 0.0290 eV/atom. The space group is Amm2. The calculation puts the density of states at the Fermi level at 1.032 states/eV/atom. The value obtained for the energy relative to the lowest polymorph listed for this composition is 0 meV per atom. For the volume, the calculation gives 80.5 Å³ per cell.


[7]
# Ru2RhW

A PBEsol-optimized structure of Ru2RhW (SCAN, Alexandria via LeMat-Bulk).

Lattice parameters (Å, degrees): 2.718 4.644 4.669 109.27 90.00 90.00
Sites, in units of the cell vectors:
Rh: 0.000 0.500 0.500
Ru: 0.000 0.000 0.000
Ru: 0.500 0.000 0.500
W: 0.500 0.500 0.000

## Properties
The value obtained for the magnetic moment is 0.00 μB per formula unit. The energy of formation from the pure elements comes out at -0.0126 eV/atom. The space group is P2/m. The calculation puts the density of states at the Fermi level at 0.781 states/eV/atom. The value obtained for the energy relative to the lowest polymorph listed for this composition is 110 meV per atom. For the volume, the calculation gives 55.6 Å³ per cell.


[8]
# CuMoAu2

A PBEsol-optimized structure of CuMoAu2 (SCAN, Alexandria via LeMat-Bulk).

Lattice parameters (Å, degrees): 4.433 4.433 4.433 60.00 60.00 60.00
Sites, in units of the cell vectors:
Au: 0.250 0.250 0.250
Au: 0.750 0.750 0.750
Cu: 0.000 0.000 0.000
Mo: 0.500 0.500 0.500

## Properties
The value obtained for the magnetic moment is 1.04 μB per formula unit. The energy of formation from the pure elements comes out at 0.3048 eV/atom. The space group is Fm-3m. The calculation puts the density of states at the Fermi level at 1.163 states/eV/atom. The value obtained for the energy relative to the lowest polymorph listed for this composition is 135 meV per atom. For the volume, the calculation gives 61.6 Å³ per cell.


[9]
# H3PbBr

A PBEsol-optimized structure of H3PbBr (SCAN, Alexandria via LeMat-Bulk).

Lattice parameters (Å, degrees): 4.042 4.042 4.042 90.00 90.00 90.00
Sites, in units of the cell vectors:
Pb: 0.000 0.000 0.000
H: 0.000 0.500 0.000
H: 0.000 0.000 0.500
H: 0.500 0.000 0.000
Br: 0.500 0.500 0.500

## Properties
The value obtained for the magnetic moment is 0.01 μB per formula unit. The space group is Pm-3m. The calculation puts the density of states at the Fermi level at 0.542 states/eV/atom. For the volume, the calculation gives 66.1 Å³ per cell. As for the total energy: -20.657 eV/atom.


[10]
# MgAg2Cl

A PBEsol-optimized structure of MgAg2Cl (SCAN, Alexandria via LeMat-Bulk).

Lattice parameters (Å, degrees): 3.186 4.387 6.123 110.92 104.99 90.26
Sites, in units of the cell vectors:
Ag: 0.500 0.500 0.500
Ag: 0.000 0.000 0.500
Cl: 0.000 0.500 0.000
Mg: 0.500 0.000 0.000

## Properties
The value obtained for the magnetic moment is 0.00 μB per formula unit. The formation energy (no corrections) comes out at -0.306 eV per atom. The space group is C2/m. The calculation puts the density of states at the Fermi level at 0.207 states/eV/atom. For the volume, the calculation gives 76.8 Å³ per cell.


[11]
# LiHgPb2

A PBEsol-optimized structure of LiHgPb2 (SCAN, Alexandria via LeMat-Bulk).

Lattice parameters (Å, degrees): 3.558 4.728 6.144 90.00 107.55 90.00
Sites, in units of the cell vectors:
Pb: 0.923 0.000 0.961
Pb: 0.574 0.500 0.280
Hg: 0.185 0.000 0.503
Li: 0.317 0.500 0.756

## Properties
The value obtained for the magnetic moment is 0.00 μB per formula unit. The energy of formation from the pure elements comes out at -0.1705 eV/atom. The space group is Pm. The calculation puts the density of states at the Fermi level at 0.317 states/eV/atom. For the volume, the calculation gives 98.6 Å³ per cell.


[12]
# La3SiBi

A PBEsol-optimized structure of La3SiBi (SCAN, Alexandria via LeMat-Bulk).

Lattice parameters (Å, degrees): 5.582 5.582 5.582 90.00 90.00 90.00
Sites, in units of the cell vectors:
Si: 0.000 0.000 0.000
Bi: 0.500 0.500 0.500
La: 0.000 0.500 0.000
La: 0.000 0.000 0.500
La: 0.500 0.000 0.000

## Properties
The value obtained for the magnetic moment is 0.00 μB per formula unit. The formation energy (no corrections) comes out at -0.537 eV per atom. The space group is Pm-3m. The calculation puts the density of states at the Fermi level at 0.709 states/eV/atom. For the volume, the calculation gives 174.0 Å³ per cell.


Q: Look up the volume of the ninth one.
A: 66.1 Å³ per cell


Q: Among the records above, which one has the highest volume?
A: Zr6CoI14


Q: Which value of magnetic moment does entry 3 give?
A: 0.00 μB per formula unit


Q: What is the volume in the tenth record?
A: 76.8 Å³ per cell